[1]
First-principles (PBE-GGA) data for a geometry-optimized HoThSiS structure, as listed in the Alexandria database.

a b c (Å): 4.130 4.130 6.997
angles (deg): 72.84 72.84 60.00
Fractional coordinates of all 4 atoms:
Si (0.441, 0.441, 0.676)
Ho (0.695, 0.695, 0.916)
Th (0.193, 0.193, 0.421)
S (0.947, 0.947, 0.158)

Values from the calculation:
E_tot = -6.696 eV/atom
DOS(E_F) = 0.4724 states/eV per atom

=====

[2]
First-principles (PBE-GGA) data for a geometry-optimized HoTlSiS4 structure, as listed in the Alexandria database.

a b c (Å): 6.395 6.576 8.764
angles (deg): 90.00 107.24 90.00
Fractional coordinates of all 14 atoms:
S (0.997, 0.501, 0.706)
Ho (0.772, 0.750, 0.449)
S (0.997, 0.999, 0.706)
Tl (0.740, 0.750, 0.931)
Si (0.225, 0.750, 0.330)
S (0.576, 0.250, 0.428)
Ho (0.228, 0.250, 0.551)
S (0.578, 0.250, 0.825)
S (0.003, 0.001, 0.294)
S (0.003, 0.499, 0.294)
Si (0.775, 0.250, 0.670)
Tl (0.260, 0.250, 0.069)
S (0.424, 0.750, 0.572)
S (0.422, 0.750, 0.175)

Values from the calculation:
E_tot = -5.289 eV/atom
DOS(E_F) = 0.0000 states/eV per atom

=====

[3]
First-principles (PBE-GGA) data for a geometry-optimized HoTmSiS structure, as listed in the Alexandria database.

a b c (Å): 3.972 3.972 6.974
angles (deg): 73.45 73.45 60.00
Fractional coordinates of all 4 atoms:
Tm (0.195, 0.195, 0.416)
Ho (0.693, 0.693, 0.920)
Si (0.943, 0.943, 0.170)
S (0.445, 0.445, 0.665)

Values from the calculation:
E_tot = -6.000 eV/atom
DOS(E_F) = 0.3917 states/eV per atom

=====

[4]
First-principles (PBE-GGA) data for a geometry-optimized YHoSiS structure, as listed in the Alexandria database.

a b c (Å): 4.006 4.006 7.033
angles (deg): 73.45 73.45 60.00
Fractional coordinates of all 4 atoms:
Y (0.693, 0.693, 0.920)
S (0.445, 0.445, 0.666)
Si (0.944, 0.944, 0.169)
Ho (0.195, 0.195, 0.416)

Values from the calculation:
E_tot = -6.525 eV/atom
DOS(E_F) = 0.3859 states/eV per atom

=====

[5]
First-principles (PBE-GGA) data for a geometry-optimized SmHo3S6 structure, as listed in the Alexandria database.

a b c (Å): 3.962 11.030 11.301
angles (deg): 108.73 90.00 90.00
Fractional coordinates of all 20 atoms:
S (0.250, 0.260, 0.726)
Ho (0.250, 0.563, 0.168)
Ho (0.250, 0.839, 0.914)
S (0.250, 0.082, 0.904)
S (0.750, 0.396, 0.061)
Ho (0.750, 0.161, 0.086)
S (0.250, 0.194, 0.249)
S (0.750, 0.806, 0.751)
S (0.750, 0.115, 0.463)
S (0.250, 0.522, 0.388)
Ho (0.750, 0.437, 0.832)
S (0.750, 0.918, 0.096)
Sm (0.250, 0.953, 0.307)
Ho (0.750, 0.681, 0.502)
S (0.250, 0.885, 0.537)
Ho (0.250, 0.319, 0.498)
S (0.250, 0.604, 0.939)
Sm (0.750, 0.047, 0.693)
S (0.750, 0.740, 0.274)
S (0.750, 0.478, 0.612)

Values from the calculation:
E_tot = -6.407 eV/atom

=====

[6]
First-principles (PBE-GGA) data for a geometry-optimized Sm2Ho3S6 structure, as listed in the Alexandria database.

a b c (Å): 6.813 6.794 6.823
angles (deg): 80.43 70.63 59.90
Fractional coordinates of all 11 atoms:
S (0.413, 0.668, 0.760)
Sm (0.165, 0.669, 0.500)
Ho (0.337, 0.327, 0.000)
Ho (0.663, 0.673, 0.000)
S (0.919, 0.668, 0.240)
S (0.081, 0.332, 0.760)
S (0.587, 0.332, 0.240)
Sm (0.835, 0.331, 0.500)
S (0.745, 0.000, 0.755)
Ho (0.000, 0.000, 0.000)
S (0.255, 0.000, 0.245)

Values from the calculation:
E_tot = -6.428 eV/atom
DOS(E_F) = 0.3625 states/eV per atom

=====

[7]
First-principles (PBE-GGA) data for a geometry-optimized Sm6HoS8 structure, as listed in the Alexandria database.

a b c (Å): 7.990 7.990 7.990
angles (deg): 60.00 60.00 60.00
Fractional coordinates of all 15 atoms:
Sm (0.000, 0.500, 0.500)
Sm (0.500, 0.000, 0.500)
S (0.245, 0.755, 0.245)
Ho (0.000, 0.000, 0.000)
S (0.750, 0.750, 0.750)
S (0.245, 0.755, 0.755)
S (0.755, 0.755, 0.245)
Sm (0.000, 0.000, 0.500)
S (0.755, 0.245, 0.755)
Sm (0.000, 0.500, 0.000)
Sm (0.500, 0.000, 0.000)
S (0.755, 0.245, 0.245)
S (0.245, 0.245, 0.755)
Sm (0.500, 0.500, 0.000)
S (0.250, 0.250, 0.250)

Values from the calculation:
DOS(E_F) = 0.4462 states/eV per atom
ΔE to the lowest computed polymorph = 0 meV/atom

=====

[8]
First-principles (PBE-GGA) data for a geometry-optimized Sm3Ho2S8 structure, as listed in the Alexandria database.

a b c (Å): 6.796 8.030 7.988
angles (deg): 120.17 107.70 90.00
Fractional coordinates of all 13 atoms:
Sm (0.500, 0.000, 0.000)
Sm (0.000, 0.736, 0.000)
S (0.417, 0.362, 0.256)
S (0.417, 0.894, 0.256)
S (0.936, 0.120, 0.240)
S (0.583, 0.638, 0.744)
S (0.895, 0.618, 0.237)
S (0.583, 0.106, 0.744)
Ho (0.344, 0.262, 0.525)
Ho (0.656, 0.738, 0.475)
S (0.105, 0.382, 0.763)
Sm (0.000, 0.264, 0.000)
S (0.064, 0.880, 0.760)

Values from the calculation:
E_tot = -6.166 eV/atom
DOS(E_F) = 0.6243 states/eV per atom

=====

Number 1: ρ 7.81 g/cm³. Number 2: ρ 4.96 g/cm³. Number 3: ρ 7.27 g/cm³. Number 4: ρ 5.65 g/cm³. Number 5: ρ 5.95 g/cm³. Number 6: ρ 6.36 g/cm³. Number 7: ρ 6.09 g/cm³. Number 8: ρ 4.88 g/cm³.